Computed, not measured: a geometry-optimized SmPuN structure at the PBE level of DFT.

a b c (Å): 3.4849 3.4849 6.1951
angles (deg): 90.00 90.00 120.00
Space group P3m1 (No. 156)
Inequivalent atoms, fractional coordinates:
Sm 0.0000 0.0000 0.0000 x1
Pu 0.6667 0.3333 0.5475 x1
N 0.3333 0.6667 0.7575 x1

Values from the calculation:
Energy relative to the elements, uncorrected, eV/atom: -0.773
Density of states at the Fermi level, states/eV/atom: 1.941

---

Computed, not measured: a geometry-optimized Li2Zn8Ir structure at the PBE level of DFT.

a b c (Å): 13.140 4.173 6.471
angles (deg): 90.00 116.69 90.00
Space group C2/m (No. 12)
Inequivalent atoms, fractional coordinates:
Li 0.226 0.000 0.160 x4
Zn 0.028 0.000 0.220 x4
Zn 0.104 0.500 0.949 x4
Zn 0.144 0.000 0.666 x4
Zn 0.171 0.500 0.392 x4
Ir 0.000 0.500 0.500 x2

Values from the calculation:
Formation energy from the elements, eV per atom: -0.160
Density of states at the Fermi level, states/eV/atom: 0.260

---

Computed, not measured: a geometry-optimized BeAgSe2 structure at the PBE level of DFT.

a b c (Å): 5.623 7.264 3.613
angles (deg): 90.00 90.00 90.00
Space group Cmmm (No. 65)
Inequivalent atoms, fractional coordinates:
Be 0.000 0.000 0.000 x2
Ag 0.000 0.500 0.000 x2
Se 0.250 0.250 0.500 x4

Values from the calculation:
Energy relative to the elements, uncorrected, eV/atom: 0.432
Density of states at the Fermi level, states/eV/atom: 0.418

---

Computed, not measured: a geometry-optimized Ho3ErTm4 structure at the PBE level of DFT.

a b c (Å): 5.529 25.767 3.508
angles (deg): 90.00 90.00 90.00
Space group Cmmm (No. 65)
Inequivalent atoms, fractional coordinates:
Ho 0.000 0.000 0.000 x2
Ho 0.000 0.156 0.500 x4
Er 0.000 0.500 0.500 x2
Tm 0.000 0.277 0.000 x4
Tm 0.000 0.397 0.000 x4

Values from the calculation:
Formation energy from the elements, eV per atom: 0.207
Density of states at the Fermi level, states/eV/atom: 1.337

---

> Among the records above, which one has the lowest density of states at the Fermi level?

Li2Zn8Ir

---

Repeat the first record exactly.
Computed, not measured: a geometry-optimized SmPuN structure at the PBE level of DFT.

a b c (Å): 3.4849 3.4849 6.1951
angles (deg): 90.00 90.00 120.00
Space group P3m1 (No. 156)
Inequivalent atoms, fractional coordinates:
Sm 0.0000 0.0000 0.0000 x1
Pu 0.6667 0.3333 0.5475 x1
N 0.3333 0.6667 0.7575 x1

Values from the calculation:
Energy relative to the elements, uncorrected, eV/atom: -0.773
Density of states at the Fermi level, states/eV/atom: 1.941

---

> Number 1 is which compound?

SmPuN

---

> Look up the density of states at the Fermi level of the third one.

0.418 states/eV/atom